No. 1
An optimized crystal structure of CoPbC3, computed with GGA-PBE.

a = 4.3781 Å, b = 4.3781 Å, c = 4.3781 Å
α = 90.00°, β = 90.00°, γ = 90.00°
Last column: magnetic moment on the atom in μB.
Fractional coordinates of all 5 atoms:
C (0.5000, 0.0000, 0.0000)  0.12
Pb (0.0000, 0.0000, 0.0000)  0.01
C (0.0000, 0.5000, 0.0000)  0.07
Co (0.5000, 0.5000, 0.5000)  -0.03
C (0.0000, 0.0000, 0.5000)  0.06

Computed properties:
Energy above the most stable polymorph in this dataset (meV/atom): 1797
Energy of formation (eV/atom): 3.87
Total magnetic moment (μB/f.u.): 0.46
Space group: No. 221


No. 2
An optimized crystal structure of Nb2Cr2Se, computed with GGA-PBE.

a = 4.0966 Å, b = 4.0966 Å, c = 6.0076 Å
α = 70.07°, β = 70.07°, γ = 90.00°
Last column: magnetic moment on the atom in μB.
Fractional coordinates of all 5 atoms:
Nb (0.2500, 0.7500, 0.5000)  -0.08
Se (0.0000, 0.0000, 0.0000)  0.00
Cr (0.3963, 0.3963, 0.2073)  0.87
Cr (0.6037, 0.6037, 0.7927)  0.87
Nb (0.7500, 0.2500, 0.5000)  -0.08

Computed properties:
Formation energy (no corrections) (eV per atom): 0.7970
Energy above the most stable polymorph in this dataset (meV/atom): 441
Total magnetic moment (μB/f.u.): 1.65
Space group: No. 139


No. 3
An optimized crystal structure of NiIr2W, computed with GGA-PBE.

a = 6.8669 Å, b = 6.8669 Å, c = 5.5576 Å
α = 51.85°, β = 51.85°, γ = 90.00°
Fractional coordinates of all 8 atoms:
Ir (0.1095, 0.6250, 0.2500)
Ir (0.8750, 0.8905, 0.7500)
Ir (0.3750, 0.3595, 0.7500)
Ni (0.2500, 0.7500, 0.5000)
Ir (0.6405, 0.1250, 0.2500)
W (0.0000, 0.0000, 0.0000)
W (0.7500, 0.2500, 0.5000)
Ni (0.5000, 0.5000, 0.0000)

Computed properties:
Energy above the most stable polymorph in this dataset (meV/atom): 695
Energy of formation (eV/atom): 0.45
Total magnetic moment (μB/f.u.): 0.00
Space group: No. 122


No. 4
An optimized crystal structure of Rb2LaBiCl6, computed with GGA-PBE.

a = 7.8426 Å, b = 7.8426 Å, c = 8.7775 Å
α = 63.46°, β = 63.46°, γ = 90.00°
Fractional coordinates of all 10 atoms:
Bi (0.0000, 0.0000, 0.0000)
Cl (0.2508, 0.7492, 0.0000)
Cl (0.7034, 0.7034, 0.5932)
Cl (0.7492, 0.2508, 0.0000)
Cl (0.7492, 0.7492, 0.0000)
La (0.5000, 0.5000, 0.0000)
Cl (0.2508, 0.2508, 0.0000)
Cl (0.2966, 0.2966, 0.4068)
Rb (0.7500, 0.2500, 0.5000)
Rb (0.2500, 0.7500, 0.5000)

Computed properties:
Formation energy (no corrections) (eV per atom): -1.6478
Total magnetic moment (μB/f.u.): 0.00
Space group: No. 139


No. 5
An optimized crystal structure of TcGe3Se, computed with GGA-PBE.

a = 4.8181 Å, b = 4.8181 Å, c = 4.8181 Å
α = 90.00°, β = 90.00°, γ = 90.00°
Fractional coordinates of all 5 atoms:
Ge (0.0000, 0.5000, 0.0000)
Ge (0.5000, 0.0000, 0.0000)
Se (0.5000, 0.5000, 0.5000)
Tc (0.0000, 0.0000, 0.0000)
Ge (0.0000, 0.0000, 0.5000)

Computed properties:
Formation energy (no corrections) (eV per atom): 0.2003
Energy above the most stable polymorph in this dataset (meV/atom): 0
Total magnetic moment (μB/f.u.): 0.00
Space group: No. 221


No. 6
An optimized crystal structure of SrZn2Au2, computed with GGA-PBE.

a = 4.7949 Å, b = 4.7949 Å, c = 5.8740 Å
α = 65.91°, β = 65.91°, γ = 90.00°
Fractional coordinates of all 5 atoms:
Au (0.7500, 0.2500, 0.5000)
Zn (0.6315, 0.6315, 0.7369)
Zn (0.3685, 0.3685, 0.2631)
Au (0.2500, 0.7500, 0.5000)
Sr (0.0000, 0.0000, 0.0000)

Computed properties:
Energy above the most stable polymorph in this dataset (meV/atom): 33
Energy of formation (eV/atom): -0.48
Total magnetic moment (μB/f.u.): 0.00
Space group: No. 139


No. 7
An optimized crystal structure of Pm3ZnPd2, computed with GGA-PBE.

a = 5.1242 Å, b = 5.1242 Å, c = 12.5248 Å
α = 90.00°, β = 90.00°, γ = 120.00°
Fractional coordinates of all 12 atoms:
Pm (0.3333, 0.6667, 0.9220)
Pm (0.3333, 0.6667, 0.4192)
Pd (0.3333, 0.6667, 0.1791)
Zn (0.6667, 0.3333, 0.3269)
Pd (0.0000, 0.0000, 0.0000)
Pd (0.6667, 0.3333, 0.8209)
Pm (0.6667, 0.3333, 0.5808)
Pm (0.6667, 0.3333, 0.0780)
Pm (0.0000, 0.0000, 0.2458)
Pm (0.0000, 0.0000, 0.7542)
Pd (0.0000, 0.0000, 0.5000)
Zn (0.3333, 0.6667, 0.6731)

Computed properties:
Energy above the most stable polymorph in this dataset (meV/atom): 2
Energy of formation (eV/atom): -0.61
Total magnetic moment (μB/f.u.): 0.00
Space group: No. 164


No. 8
An optimized crystal structure of Zn2In2Os, computed with GGA-PBE.

a = 7.1923 Å, b = 7.1923 Å, c = 3.6825 Å
α = 90.00°, β = 90.00°, γ = 90.00°
Fractional coordinates of all 10 atoms:
Os (0.0000, 0.0000, 0.0000)
Zn (0.1445, 0.6445, 0.5000)
Zn (0.3555, 0.1445, 0.5000)
Zn (0.6445, 0.8555, 0.5000)
In (0.3417, 0.8417, 0.0000)
Zn (0.8555, 0.3555, 0.5000)
In (0.1583, 0.3417, 0.0000)
In (0.6583, 0.1583, 0.0000)
In (0.8417, 0.6583, 0.0000)
Os (0.5000, 0.5000, 0.0000)

Computed properties:
Energy above the most stable polymorph in this dataset (meV/atom): 176
Energy of formation (eV/atom): 0.62
Total magnetic moment (μB/f.u.): 0.00
Space group: No. 127


Question: What is the formula in the fifth record?
Answer: TcGe3Se


Question: total magnetic moment of number 8 (Zn2In2Os)?
Answer: 0.00 μB/f.u.


Question: Among the records above, which one has the highest total magnetic moment?
Answer: Nb2Cr2Se